1.
A PBEsol-optimized structure of Mg2CdOs. Source: Alexandria via LeMat-Bulk, functional meta-GGA SCAN.

The value obtained for the uncorrected energy is -27.803 eV/atom. Its crystal system is tetragonal. The value obtained for the formation energy is 25 kJ per mole of atoms.

It has space group P4mm (No. 99), with a = 3.3726 Å, b = 3.3726 Å, c = 6.1656 Å, α = 90.00°, β = 90.00° and γ = 90.00°. The distinct sites, in fractional coordinates, are Mg at (0.0000, 0.0000, 0.0000), Mg at (0.5000, 0.5000, 0.2838), Cd at (0.5000, 0.5000, 0.7322) and Os at (0.0000, 0.0000, 0.4829).

---

2.
A PBEsol-optimized structure of Mg2CdOs. Source: Alexandria via LeMat-Bulk, functional meta-GGA SCAN.

The value obtained for the uncorrected energy is -27.862 eV/atom. Its crystal system is monoclinic. The value obtained for the formation energy is 19 kJ per mole of atoms.

It has space group C2/m (No. 12), with a = 9.3349 Å, b = 2.8037 Å, c = 5.3011 Å, α = 90.00°, β = 96.87° and γ = 90.00°. The distinct sites, in fractional coordinates, are Mg at (0.2430, 0.0000, 0.2317), Cd at (0.0000, 0.0000, 0.5000) and Os at (0.0000, 0.5000, 0.0000).

---

3.
A PBEsol-optimized structure of MgCd2Os. Source: Alexandria via LeMat-Bulk, functional meta-GGA SCAN.

The value obtained for the uncorrected energy is -34.092 eV/atom. Its crystal system is monoclinic. The value obtained for the formation energy is 32 kJ per mole of atoms.

It has space group C2/m (No. 12), with a = 5.6734 Å, b = 9.6335 Å, c = 2.7901 Å, α = 90.00°, β = 113.95° and γ = 90.00°. The distinct sites, in fractional coordinates, are Mg at (0.0000, 0.0000, 0.0000), Cd at (0.2500, 0.2500, 0.5000) and Os at (0.0000, 0.5000, 0.0000).